Entry from Alexandria: crystalline CaLa4Nd3Se8 at its relaxed geometry (PBE).

Calculated values
* formation energy (no corrections): -1.93 eV/atom
* electronic total energy: -94.795 eV per formula unit
* volume: 440.6 Å³/f.u.

Unit cell a=8.5486 b=8.5486 c=20.8831 alpha=90.00 beta=90.00 gamma=120.00
Space group R-3m (No. 166, hexagonal axes)
Asymmetric unit:
Ca 0.0000 0.0000 0.0000 (multiplicity 3)
La 0.0000 0.0000 0.5000 (multiplicity 3)
La 0.0000 0.5000 0.5000 (multiplicity 9)
Nd 0.0000 0.5000 0.0000 (multiplicity 9)
Se 0.0000 0.0000 0.2514 (multiplicity 6)
Se 0.0043 0.5021 0.7474 (multiplicity 18)

Entry from Alexandria: crystalline Ca2LaNdSe4 at its relaxed geometry (PBE).

Calculated values
* formation energy (no corrections): -1.94 eV/atom
* electronic total energy: -43.130 eV per formula unit
* volume: 215.6 Å³/f.u.

Unit cell a=7.292 b=4.212 c=7.430 alpha=90.00 beta=109.09 gamma=90.00
Space group P2/m (No. 10)
Asymmetric unit:
Ca 0.000 0.000 0.000 (multiplicity 1)
Ca 0.500 0.500 0.000 (multiplicity 1)
La 0.000 0.500 0.500 (multiplicity 1)
Nd 0.500 0.000 0.500 (multiplicity 1)
Se 0.250 0.500 0.242 (multiplicity 2)
Se 0.256 0.000 0.760 (multiplicity 2)

Entry from Alexandria: crystalline CaLaNd2Se4 at its relaxed geometry (PBE).

Calculated values
* formation energy (no corrections): -1.91 eV/atom
* electronic total energy: -45.658 eV per formula unit
* volume: 216.7 Å³/f.u.

Unit cell a=8.457 b=8.532 c=12.012 alpha=90.00 beta=90.00 gamma=90.00
Space group Imma (No. 74)
Asymmetric unit:
Ca 0.250 0.250 0.250 (multiplicity 4)
La 0.000 0.000 0.000 (multiplicity 4)
Nd 0.000 0.000 0.500 (multiplicity 4)
Nd 0.250 0.250 0.750 (multiplicity 4)
Se 0.000 0.005 0.252 (multiplicity 8)
Se 0.247 0.250 0.497 (multiplicity 8)

Entry from Alexandria: crystalline CaLa2Nd2Sm2 at its relaxed geometry (PBE).

Calculated values
* electronic total energy: -30.491 eV per formula unit
* energy of formation: 0.0484 eV/atom
* volume: 252.8 Å³/f.u.

Unit cell a=11.734 b=5.279 c=8.257 alpha=90.00 beta=98.63 gamma=90.00
Space group C2/m (No. 12)
Asymmetric unit:
Ca 0.000 0.000 0.000 (multiplicity 2)
La 0.144 0.000 0.433 (multiplicity 4)
Nd 0.217 0.500 0.145 (multiplicity 4)
Sm 0.075 0.500 0.707 (multiplicity 4)

- Look up the electronic total energy of the third one.
  -45.658 eV per formula unit